Entry 1:
Material: KNaSrCl4
Method: DFT, PBE
State: relaxed

Output
calculated volume = 477.24 Å³/cell
calculated total energy = -52.550 eV/cell
theoretical density = 2.03 g cm⁻³
DOS at the Fermi energy = 0.000 states/eV/atom
formation energy from raw total energies = -2113 meV per atom

Unit cell a=8.713 b=8.761 c=8.877 alpha=120.44 beta=90.00 gamma=119.82
Positions (direct):
Cl 0.733 0.466 0.270
Cl 0.711 0.984 0.742
Cl 0.727 0.016 0.258
Cl 0.267 0.534 0.730
Cl 0.289 0.016 0.258
Cl 0.267 0.534 0.304
Cl 0.273 0.984 0.742
Cl 0.733 0.466 0.696
K 0.864 0.727 0.114
K 0.136 0.273 0.886
Na 0.000 0.500 0.500
Na 0.500 0.500 0.500
Sr 0.500 0.000 0.000
Sr 0.500 0.000 0.500


Entry 2:
Material: KNaSr2Cl
Method: DFT, PBE
State: relaxed

Output
calculated volume = 236.92 Å³/cell
calculated total energy = -10.471 eV/cell
theoretical density = 1.91 g cm⁻³
DOS at the Fermi energy = 0.693 states/eV/atom
formation energy from raw total energies = -569 meV per atom

Unit cell a=6.117 b=6.117 c=6.331 alpha=90.00 beta=90.00 gamma=90.00
Positions (direct):
Sr 0.000 0.500 0.000
Sr 0.500 0.000 0.000
Na 0.500 0.500 0.500
Cl 0.000 0.000 0.000
K 0.000 0.000 0.500


Entry 3:
Material: K2NaTaCl6
Method: DFT, PBE
State: relaxed

Output
calculated volume = 280.69 Å³/cell
calculated total energy = -41.727 eV/cell
theoretical density = 2.93 g cm⁻³
DOS at the Fermi energy = 0.769 states/eV/atom
formation energy from raw total energies = -1528 meV per atom

Unit cell a=7.349 b=7.349 c=7.349 alpha=60.00 beta=60.00 gamma=60.00
Site moments in Bohr magnetons follow the coordinates.
Positions (direct):
K 0.250 0.250 0.250  0.00
K 0.750 0.750 0.750  0.00
Na 0.000 0.000 0.000  0.00
Cl 0.738 0.262 0.262  0.00
Cl 0.262 0.738 0.738  0.00
Cl 0.262 0.738 0.262  0.00
Cl 0.262 0.262 0.738  0.00
Cl 0.738 0.262 0.738  0.00
Cl 0.738 0.738 0.262  0.00
Ta 0.500 0.500 0.500  1.36


Entry 4:
Material: KNa2TaCl8
Method: DFT, PBE
State: relaxed

Output
calculated volume = 389.51 Å³/cell
calculated total energy = -48.864 eV/cell
theoretical density = 2.34 g cm⁻³
DOS at the Fermi energy = 0.000 states/eV/atom
formation energy from raw total energies = -1542 meV per atom

Unit cell a=6.766 b=6.382 c=9.161 alpha=84.08 beta=82.73 gamma=85.59
Positions (direct):
Cl 0.172 0.800 0.813
Cl 0.852 0.229 0.817
Cl 0.828 0.200 0.187
Cl 0.317 0.307 0.464
Cl 0.727 0.781 0.022
Cl 0.683 0.693 0.536
Cl 0.148 0.771 0.183
Cl 0.273 0.219 0.978
Na 0.552 0.573 0.302
Na 0.448 0.427 0.698
Ta 0.000 0.000 0.000
K 0.000 0.000 0.500


Entry 5:
Material: KNa2TaCl
Method: DFT, PBE
State: relaxed

Output
calculated volume = 252.26 Å³/cell
calculated total energy = -10.496 eV/cell
theoretical density = 1.98 g cm⁻³
DOS at the Fermi energy = 0.958 states/eV/atom
formation energy from raw total energies = 1388 meV per atom

Unit cell a=6.431 b=6.099 c=6.431 alpha=90.00 beta=90.00 gamma=90.00
Site moments in Bohr magnetons follow the coordinates.
Positions (direct):
K 0.000 0.000 0.000  0.10
Cl 0.500 0.500 0.500  0.01
Na 0.500 0.000 0.000  0.04
Na 0.000 0.000 0.500  0.02
Ta 0.000 0.500 0.000  2.40


Entry 6:
Material: KNaTbCl5
Method: DFT, PBE
State: relaxed

Output
calculated volume = 528.04 Å³/cell
calculated total energy = -65.914 eV/cell
theoretical density = 2.50 g cm⁻³
DOS at the Fermi energy = 0.000 states/eV/atom
formation energy from raw total energies = -2085 meV per atom

Unit cell a=7.760 b=7.760 c=10.112 alpha=101.47 beta=101.47 gamma=111.92
Positions (direct):
Cl 0.300 0.928 0.600
Cl 0.077 0.923 0.250
Cl 0.923 0.077 0.750
Cl 0.700 0.072 0.400
Cl 0.744 0.635 0.444
Cl 0.072 0.700 0.900
Cl 0.928 0.300 0.100
Cl 0.256 0.365 0.556
Cl 0.635 0.744 0.944
Cl 0.365 0.256 0.056
Na 0.313 0.687 0.750
Na 0.687 0.313 0.250
K 0.651 0.349 0.750
K 0.349 0.651 0.250
Tb 0.000 0.000 0.000
Tb 0.000 0.000 0.500


Entry 7:
Material: K2NaTcCl6
Method: DFT, PBE
State: relaxed

Output
calculated volume = 566.82 Å³/cell
calculated total energy = -77.400 eV/cell
theoretical density = 2.41 g cm⁻³
DOS at the Fermi energy = 0.566 states/eV/atom
formation energy from raw total energies = -1374 meV per atom

Unit cell a=7.116 b=7.116 c=13.563 alpha=74.79 beta=74.79 gamma=60.00
Site moments in Bohr magnetons follow the coordinates.
Positions (direct):
Cl 0.283 0.804 0.108  0.02
Cl 0.625 0.143 0.608  0.02
Cl 0.375 0.857 0.392  0.02
Cl 0.717 0.196 0.892  0.02
Cl 0.375 0.375 0.392  0.02
Cl 0.804 0.804 0.108  0.02
Cl 0.143 0.625 0.608  0.02
Cl 0.625 0.625 0.608  0.02
Cl 0.196 0.717 0.892  0.02
Cl 0.857 0.375 0.392  0.02
Cl 0.196 0.196 0.892  0.02
Cl 0.804 0.283 0.108  0.02
K 0.695 0.695 0.914  0.00
K 0.305 0.305 0.086  0.00
K 0.137 0.137 0.590  0.00
K 0.863 0.863 0.410  0.00
Na 0.414 0.414 0.757  0.00
Na 0.586 0.586 0.243  0.00
Tc 0.000 0.000 0.000  1.58
Tc 0.500 0.500 0.500  1.64


Entry 8:
Material: KNaTcCl6
Method: DFT, PBE
State: relaxed

Output
calculated volume = 547.83 Å³/cell
calculated total energy = -70.399 eV/cell
theoretical density = 2.26 g cm⁻³
formation energy from raw total energies = -1260 meV per atom

Unit cell a=6.936 b=6.936 c=13.148 alpha=90.00 beta=90.00 gamma=120.00
Site moments in Bohr magnetons follow the coordinates.
Positions (direct):
K 0.000 0.000 0.000  0.00
K 0.000 0.000 0.500  0.00
Na 0.333 0.667 0.250  0.00
Na 0.667 0.333 0.750  0.00
Tc 0.333 0.667 0.750  2.31
Tc 0.667 0.333 0.250  2.31
Cl 0.393 0.048 0.145  0.05
Cl 0.607 0.952 0.855  0.05
Cl 0.393 0.345 0.355  0.05
Cl 0.048 0.393 0.645  0.05
Cl 0.655 0.607 0.145  0.05
Cl 0.952 0.345 0.145  0.05
Cl 0.655 0.048 0.355  0.05
Cl 0.345 0.393 0.855  0.05
Cl 0.952 0.607 0.355  0.05
Cl 0.048 0.655 0.855  0.05
Cl 0.345 0.952 0.645  0.05
Cl 0.607 0.655 0.645  0.05


Entry 9:
Material: K2NaTeCl
Method: DFT, PBE
State: relaxed

Output
calculated volume = 179.60 Å³/cell
calculated total energy = -14.546 eV/cell
theoretical density = 2.44 g cm⁻³
formation energy from raw total energies = -1209 meV per atom

Unit cell a=5.832 b=5.832 c=5.281 alpha=90.00 beta=90.00 gamma=90.00
Positions (direct):
K 0.000 0.500 0.000
K 0.500 0.000 0.000
Te 0.500 0.500 0.500
Cl 0.000 0.000 0.000
Na 0.000 0.000 0.500


Entry 10:
Material: KNaThCl6
Method: DFT, PBE
State: relaxed

Output
calculated volume = 620.24 Å³/cell
calculated total energy = -79.328 eV/cell
theoretical density = 2.71 g cm⁻³
DOS at the Fermi energy = 0.000 states/eV/atom
formation energy from raw total energies = -2083 meV per atom

Unit cell a=7.262 b=7.262 c=13.579 alpha=90.00 beta=90.00 gamma=120.00
Positions (direct):
K 0.000 0.000 0.000
K 0.000 0.000 0.500
Cl 0.646 0.016 0.362
Cl 0.354 0.984 0.638
Cl 0.371 0.016 0.138
Cl 0.354 0.371 0.862
Cl 0.984 0.629 0.362
Cl 0.984 0.354 0.138
Cl 0.371 0.354 0.362
Cl 0.629 0.984 0.862
Cl 0.016 0.646 0.862
Cl 0.016 0.371 0.638
Cl 0.629 0.646 0.638
Cl 0.646 0.629 0.138
Th 0.667 0.333 0.250
Th 0.333 0.667 0.750
Na 0.333 0.667 0.250
Na 0.667 0.333 0.750


Entry 11:
Material: KNaTiCl6
Method: DFT, PBE
State: relaxed

Output
calculated volume = 272.90 Å³/cell
calculated total energy = -36.808 eV/cell
theoretical density = 1.96 g cm⁻³
DOS at the Fermi energy = 0.000 states/eV/atom
formation energy from raw total energies = -1713 meV per atom

Unit cell a=6.895 b=6.895 c=6.630 alpha=90.01 beta=89.99 gamma=59.97
Positions (direct):
Ti 0.333 0.333 0.500
K 0.000 0.000 0.000
Cl 0.345 0.606 0.292
Cl 0.607 0.048 0.293
Cl 0.606 0.345 0.708
Cl 0.345 0.048 0.707
Cl 0.048 0.607 0.707
Cl 0.048 0.345 0.293
Na 0.667 0.667 0.500


Entry 12:
Material: KNaTlCl3
Method: DFT, PBE
State: relaxed

Output
calculated volume = 417.59 Å³/cell
calculated total energy = -39.044 eV/cell
theoretical density = 2.97 g cm⁻³
DOS at the Fermi energy = 0.000 states/eV/atom
formation energy from raw total energies = -1533 meV per atom

Unit cell a=4.388 b=9.407 c=10.130 alpha=92.97 beta=90.00 gamma=90.00
Positions (direct):
Cl 0.250 0.832 0.552
Cl 0.750 0.884 0.148
Cl 0.250 0.618 0.878
Cl 0.750 0.382 0.122
Cl 0.750 0.168 0.448
Cl 0.250 0.116 0.852
Tl 0.250 0.624 0.166
Tl 0.750 0.376 0.834
Na 0.750 0.878 0.411
Na 0.250 0.122 0.589
K 0.250 0.146 0.173
K 0.750 0.854 0.827